# 1
VASP calculation (PBE) on crystalline BaReAgBr2 at its relaxed geometry.

Geometry as extended XYZ:
```
5
Lattice="5.470 0.000 0.000 0.000 5.408 0.000 0.000 0.000 5.470" Properties=species:S:1:pos:R:3 pbc="T T T"
Re 0.000 2.704 0.000
Br 0.000 0.000 2.735
Br 2.735 0.000 0.000
Ba 2.735 2.704 2.735
Ag 0.000 0.000 0.000
```

- Space group: P4/mmm
- Formation energy (no corrections): 0.41 eV per atom
- Raw total energy: -3.70 eV/atom
- Volume: 161.80 Å³ per cell
- Fermi-level density of states: 3.27 states/eV/cell

---

# 2
VASP calculation (PBE) on crystalline TbHo3Zr at its relaxed geometry.

Geometry as extended XYZ:
```
10
Lattice="-7.050 -5.416 -1.119 10.916 -0.799 -4.615 -5.128 -0.198 6.341" Properties=species:S:1:pos:R:3 pbc="T T T"
Tb -2.777 -5.030 -0.743
Tb 1.516 -1.383 1.350
Ho 4.609 -1.857 -2.312
Ho -0.159 -4.525 1.384
Ho 1.871 -3.717 -1.278
Ho -3.133 -2.696 1.885
Ho -5.871 -4.556 2.919
Ho -1.103 -1.888 -0.777
Zr -3.481 -0.483 4.411
Zr 2.219 -5.930 -3.804
```

- Space group: P-1
- Raw total energy: -5.33 eV/atom
- Volume: 295.90 Å³ per cell
- Fermi-level density of states: 17.04 states/eV/cell

---

# 3
VASP calculation (PBE) on crystalline Tm2Sc6Ga at its relaxed geometry.

Geometry as extended XYZ:
```
9
Lattice="3.239 0.000 0.242 0.000 8.728 0.000 -0.637 -4.364 8.031" Properties=species:S:1:pos:R:3 pbc="T T T"
Tm 1.385 4.364 2.945
Tm 1.217 0.000 5.329
Sc 3.029 1.489 2.843
Sc -0.428 -2.875 5.431
Sc -0.428 2.875 5.431
Sc 1.619 2.498 0.121
Sc 3.029 7.239 2.843
Sc 1.619 6.230 0.121
Ga 0.000 0.000 0.000
```

- Space group: C2/m
- Raw total energy: -5.53 eV/atom
- Volume: 228.38 Å³ per cell
- Fermi-level density of states: 13.70 states/eV/cell

---

# 4
VASP calculation (PBE) on crystalline ThAl4Pt8 at its relaxed geometry.

Geometry as extended XYZ:
```
13
Lattice="5.468 0.000 0.000 2.734 6.248 0.000 2.734 0.000 6.248" Properties=species:S:1:pos:R:3 pbc="T T T"
Th 0.000 0.000 0.000
Al 1.367 0.000 3.124
Al 4.101 0.000 3.124
Al 1.367 3.124 0.000
Al 4.101 3.124 0.000
Pt 2.734 2.068 4.181
Pt 2.734 4.181 2.068
Pt 5.468 4.181 4.181
Pt 5.468 2.068 2.068
Pt 5.468 4.832 1.416
Pt 5.468 1.416 4.832
Pt 2.734 1.416 1.416
Pt 8.202 4.832 4.832
```

- Space group: I4/mmm
- Raw total energy: -6.40 eV/atom
- Volume: 213.49 Å³ per cell
- Fermi-level density of states: 5.47 states/eV/cell

---

# 5
VASP calculation (PBE) on crystalline Zr2ZnB2Ru5 at its relaxed geometry.

Geometry as extended XYZ:
```
20
Lattice="3.110 0.000 0.000 0.000 9.367 0.000 0.000 0.000 9.367" Properties=species:S:1:pos:R:3 pbc="T T T"
Zr 0.000 6.327 1.643
Zr 0.000 3.040 7.723
Zr 0.000 1.643 3.040
Zr 0.000 7.723 6.327
Zn 0.000 0.000 0.000
Zn 0.000 4.683 4.683
B 0.000 1.174 5.857
B 0.000 8.193 3.509
B 0.000 5.857 8.193
B 0.000 3.509 1.174
Ru 1.555 2.026 0.671
Ru 1.555 7.341 8.696
Ru 1.555 0.671 7.341
Ru 1.555 6.709 4.013
Ru 1.555 8.696 2.026
Ru 1.555 2.657 5.354
Ru 1.555 5.354 6.709
Ru 1.555 4.013 2.657
Ru 1.555 4.683 0.000
Ru 1.555 0.000 4.683
```

- Space group: P4/mbm
- Raw total energy: -8.32 eV/atom
- Volume: 272.90 Å³ per cell
- Fermi-level density of states: 18.66 states/eV/cell

---

# 6
VASP calculation (PBE) on crystalline CrTe2Ru at its relaxed geometry.

Geometry as extended XYZ:
```
4
Lattice="-5.433 3.815 5.777 -4.410 1.213 7.518 -2.584 3.953 7.426" Properties=species:S:1:pos:R:3 pbc="T T T"
Ru 0.000 0.000 0.000
Te -11.212 8.104 18.695
Te -1.215 0.878 2.026
Cr -6.214 4.491 10.360
```

- Space group: R-3m
- Formation energy (no corrections): 0.52 eV per atom
- Raw total energy: -5.77 eV/atom
- Volume: 80.74 Å³ per cell
- Fermi-level density of states: 3.68 states/eV/cell

---

# 7
VASP calculation (PBE) on crystalline La2YPb at its relaxed geometry.

Geometry as extended XYZ:
```
8
Lattice="-1.042 2.307 -4.792 -5.970 -3.791 -0.528 -2.160 5.774 3.249" Properties=species:S:1:pos:R:3 pbc="T T T"
La -6.596 0.724 0.250
La -2.575 3.566 -2.321
La -5.702 -2.257 -1.379
La -3.469 6.547 -0.691
Y -4.126 3.331 0.968
Y -5.045 0.959 -3.039
Pb -2.978 0.387 -0.699
Pb -6.193 3.903 -1.372
```

- Space group: P2_1/m
- Raw total energy: -5.31 eV/atom
- Volume: 261.48 Å³ per cell
- Fermi-level density of states: 9.36 states/eV/cell

---

# 8
VASP calculation (PBE) on crystalline RbHg2Au at its relaxed geometry.

Geometry as extended XYZ:
```
4
Lattice="4.721 0.000 -2.125 -0.957 4.623 -2.125 0.068 0.084 6.458" Properties=species:S:1:pos:R:3 pbc="T T T"
Rb 0.497 3.509 1.104
Hg 3.896 1.885 2.348
Hg 2.776 0.510 -0.140
Au 0.000 0.000 0.000
```

- Space group: I-4m2
- Raw total energy: -1.47 eV/atom
- Volume: 142.62 Å³ per cell
- Fermi-level density of states: 0.98 states/eV/cell